(1)
This record from Alexandria describes a relaxed LaGaTe2N crystal. The functional is PBE.

Its raw formation energy is 11.1 kJ/mol of atoms. The calculation puts the energy above the most stable polymorph in this dataset at 0.2766 eV per atom.

It has space group P4/mmm (No. 123), with a = 6.587 Å, b = 6.587 Å, c = 3.993 Å, α = 90.00°, β = 90.00° and γ = 90.00°. The asymmetric unit holds La at (0.000, 0.000, 0.000), Ga at (0.500, 0.500, 0.500), Te at (0.000, 0.500, 0.000) and N at (0.000, 0.000, 0.500).



(2)
This record from Alexandria describes a relaxed LaGaTe2N crystal. The functional is PBE.

Its raw formation energy is -15.6 kJ/mol of atoms. The calculation puts the energy above the most stable polymorph in this dataset at 0.0000 eV per atom.

It has space group P4/mmm (No. 123), with a = 5.773 Å, b = 5.773 Å, c = 3.979 Å, α = 90.00°, β = 90.00° and γ = 90.00°. The asymmetric unit holds La at (0.000, 0.000, 0.000), Ga at (0.500, 0.500, 0.500), Te at (0.000, 0.500, 0.500) and N at (0.500, 0.500, 0.000).



(3)
This record from Alexandria describes a relaxed LaGaTeN2 crystal. The functional is PBE.

Its raw formation energy is 42.6 kJ/mol of atoms. The calculation puts the energy above the most stable polymorph in this dataset at 0.0000 eV per atom.

It has space group P4/mmm (No. 123), with a = 4.314 Å, b = 4.314 Å, c = 5.291 Å, α = 90.00°, β = 90.00° and γ = 90.00°. The asymmetric unit holds La at (0.000, 0.000, 0.000), Ga at (0.500, 0.500, 0.500), Te at (0.500, 0.500, 0.000) and N at (0.000, 0.500, 0.500).



(4)
This record from Alexandria describes a relaxed LaGaTeN2 crystal. The functional is PBE.

Its raw formation energy is 60.2 kJ/mol of atoms. The calculation puts the energy above the most stable polymorph in this dataset at 0.1822 eV per atom.

It has space group P4/mmm (No. 123), with a = 4.289 Å, b = 4.289 Å, c = 6.923 Å, α = 90.00°, β = 90.00° and γ = 90.00°. The asymmetric unit holds La at (0.000, 0.000, 0.000), Ga at (0.500, 0.500, 0.500), Te at (0.000, 0.000, 0.500) and N at (0.000, 0.500, 0.000).



(5)
This record from Alexandria describes a relaxed LaTi2GaN crystal. The functional is PBE.

Its raw formation energy is 223.0 kJ/mol of atoms.

It has space group P4/mmm (No. 123), with a = 4.853 Å, b = 4.853 Å, c = 5.671 Å, α = 90.00°, β = 90.00° and γ = 90.00°. The asymmetric unit holds La at (0.000, 0.000, 0.000), Ti at (0.000, 0.500, 0.000), Ga at (0.000, 0.000, 0.500) and N at (0.500, 0.500, 0.500).



(6)
This record from Alexandria describes a relaxed La2TiGaN crystal. The functional is PBE.

Its raw formation energy is -77.7 kJ/mol of atoms.

It has space group P4/mmm (No. 123), with a = 5.266 Å, b = 5.266 Å, c = 4.044 Å, α = 90.00°, β = 90.00° and γ = 90.00°. The asymmetric unit holds La at (0.000, 0.500, 0.000), Ti at (0.000, 0.000, 0.500), Ga at (0.500, 0.500, 0.500) and N at (0.000, 0.000, 0.000).



(7)
This record from Alexandria describes a relaxed La2VGaN crystal. The functional is PBE.

Its raw formation energy is -68.8 kJ/mol of atoms.

It has space group P4/mmm (No. 123), with a = 5.289 Å, b = 5.289 Å, c = 3.891 Å, α = 90.00°, β = 90.00° and γ = 90.00°. The asymmetric unit holds La at (0.000, 0.500, 0.000), V at (0.000, 0.000, 0.500), Ga at (0.500, 0.500, 0.500) and N at (0.000, 0.000, 0.000).



(8)
This record from Alexandria describes a relaxed LaY2GaN crystal. The functional is PBE.

Its raw formation energy is -86.9 kJ/mol of atoms.

It has space group P4/mmm (No. 123), with a = 4.809 Å, b = 4.809 Å, c = 5.020 Å, α = 90.00°, β = 90.00° and γ = 90.00°. The asymmetric unit holds La at (0.000, 0.000, 0.000), Y at (0.000, 0.500, 0.500), Ga at (0.500, 0.500, 0.000) and N at (0.000, 0.000, 0.500).



(9)
This record from Alexandria describes a relaxed La2YGaN crystal. The functional is PBE.

Its raw formation energy is -82.8 kJ/mol of atoms.

It has space group P4/mmm (No. 123), with a = 5.071 Å, b = 5.071 Å, c = 4.800 Å, α = 90.00°, β = 90.00° and γ = 90.00°. The asymmetric unit holds La at (0.000, 0.500, 0.000), Y at (0.000, 0.000, 0.500), Ga at (0.500, 0.500, 0.500) and N at (0.000, 0.000, 0.000).



(10)
This record from Alexandria describes a relaxed La4ZnGaN crystal. The functional is PBE.

Its raw formation energy is -59.8 kJ/mol of atoms.

It has space group Cmcm (No. 63), with a = 7.288 Å, b = 14.728 Å, c = 7.286 Å, α = 90.00°, β = 90.00° and γ = 90.00°. The asymmetric unit holds La at (0.000, 0.076, 0.250), La at (0.000, 0.423, 0.250), La at (0.250, 0.250, 0.000), Zn at (0.000, 0.128, 0.750), Ga at (0.000, 0.371, 0.750) and N at (0.000, 0.250, 0.250).



(11)
This record from Alexandria describes a relaxed Na3LaGa crystal. The functional is PBE.

Its energy relative to the elements is 105.38 kJ per mole of atoms.

It has space group Pm-3m (No. 221), with a = 6.542 Å, b = 6.542 Å, c = 6.542 Å, α = 90.00°, β = 90.00° and γ = 90.00°. The asymmetric unit holds Na at (0.000, 0.000, 0.500), La at (0.000, 0.000, 0.000) and Ga at (0.500, 0.500, 0.500).



(12)
This record from Alexandria describes a relaxed NaLaGa crystal. The functional is PBE.

Its energy relative to the elements is -0.63 kJ per mole of atoms.

It has space group Amm2 (No. 38), with a = 16.985 Å, b = 3.510 Å, c = 6.037 Å, α = 90.00°, β = 90.00° and γ = 90.00°. The asymmetric unit holds Na at (0.152, 0.000, 0.000), La at (0.357, 0.000, 0.343), Ga at (0.000, 0.000, 0.337) and Ga at (0.500, 0.000, 0.008).



One value per record, in order, for DFT total energy: -4.397 -4.674 -5.108 -4.925 -4.103 -6.625 -6.778 -6.742 -6.392 -5.239 -1.290 -3.098 eV per atom.
One value per record, in order, for calculated volume: 173.2 132.6 98.4 127.3 133.6 112.1 108.8 116.1 123.4 782.1 279.9 360.0 Å³ per cell.